#one
# Ca2TaAg2 (PBE, relaxed)
# spin magnetization: 0.376 μB per atom
data_Ca2TaAg2
_cell_length_a 8.695
_cell_length_b 8.695
_cell_length_c 3.082
_cell_angle_alpha 90.00
_cell_angle_beta 90.00
_cell_angle_gamma 90.00
_symmetry_space_group_name_H-M 'P 4/m b m'
_symmetry_Int_Tables_number 127
_symmetry_space_group_name_Hall '-P 4 2ab'
loop_
_atom_site_label
_atom_site_type_symbol
_atom_site_fract_x
_atom_site_fract_y
_atom_site_fract_z
_atom_site_occupancy
Ca1 Ca 0.150 0.350 0.000 1
Ta1 Ta 0.000 0.000 0.000 1
Ag1 Ag 0.150 0.650 0.500 1

***

#two
# Ca2TaAg2 (PBE, relaxed)
# spin magnetization: 0.065 μB per atom
data_Ca2TaAg2
_cell_length_a 3.686
_cell_length_b 3.686
_cell_length_c 19.136
_cell_angle_alpha 90.00
_cell_angle_beta 90.00
_cell_angle_gamma 90.00
_symmetry_space_group_name_H-M 'I 4/m m m'
_symmetry_Int_Tables_number 139
_symmetry_space_group_name_Hall '-I 4 2'
loop_
_atom_site_label
_atom_site_type_symbol
_atom_site_fract_x
_atom_site_fract_y
_atom_site_fract_z
_atom_site_occupancy
Ca1 Ca 0.000 0.000 0.110 1
Ta1 Ta 0.000 0.000 0.500 1
Ag1 Ag 0.000 0.500 0.250 1

***

Stability ranking, top and bottom: #two is the most stable and #one is the least stable.

***

#one
# Ca3TaAg (PBE, relaxed)
# spin magnetization: 0.681 μB per atom
data_Ca3TaAg
_cell_length_a 5.571
_cell_length_b 5.571
_cell_length_c 5.571
_cell_angle_alpha 90.00
_cell_angle_beta 90.00
_cell_angle_gamma 90.00
_symmetry_space_group_name_H-M 'P m -3 m'
_symmetry_Int_Tables_number 221
_symmetry_space_group_name_Hall '-P 4 2 3'
loop_
_atom_site_label
_atom_site_type_symbol
_atom_site_fract_x
_atom_site_fract_y
_atom_site_fract_z
_atom_site_occupancy
Ca1 Ca 0.000 0.000 0.500 1
Ta1 Ta 0.500 0.500 0.500 1
Ag1 Ag 0.000 0.000 0.000 1

***

#two
# Ca3TaAg (PBE, relaxed)
# spin magnetization: 0.000 μB per atom
data_Ca3TaAg
_cell_length_a 5.567
_cell_length_b 5.567
_cell_length_c 5.567
_cell_angle_alpha 90.00
_cell_angle_beta 90.00
_cell_angle_gamma 90.00
_symmetry_space_group_name_H-M 'P m -3 m'
_symmetry_Int_Tables_number 221
_symmetry_space_group_name_Hall '-P 4 2 3'
loop_
_atom_site_label
_atom_site_type_symbol
_atom_site_fract_x
_atom_site_fract_y
_atom_site_fract_z
_atom_site_occupancy
Ca1 Ca 0.000 0.000 0.500 1
Ta1 Ta 0.000 0.000 0.000 1
Ag1 Ag 0.500 0.500 0.500 1

***

Stability ranking, top and bottom: #one is the most stable and #two is the least stable.

***

#one
# CaTbAg4 (PBE, relaxed)
# spin magnetization: 0.000 μB per atom
data_CaTbAg4
_cell_length_a 5.306
_cell_length_b 9.382
_cell_length_c 5.308
_cell_angle_alpha 90.00
_cell_angle_beta 90.00
_cell_angle_gamma 90.00
_symmetry_space_group_name_H-M 'A m m 2'
_symmetry_Int_Tables_number 38
loop_
_symmetry_equiv_pos_as_xyz
'x,y,z'
'-x,-y,z'
'-x,y,z'
'x,-y,z'
'x,y+1/2,z+1/2'
'-x,-y+1/2,z+1/2'
'-x,y+1/2,z+1/2'
'x,-y+1/2,z+1/2'
loop_
_atom_site_label
_atom_site_type_symbol
_atom_site_fract_x
_atom_site_fract_y
_atom_site_fract_z
_atom_site_occupancy
Ca1 Ca 0.000 0.000 0.000 1
Tb1 Tb 0.500 0.000 0.499 1
Ag1 Ag 0.000 0.171 0.500 1
Ag2 Ag 0.500 0.172 0.999 1

***

#two
# CaTbAg4 (PBE, relaxed)
# spin magnetization: 0.000 μB per atom
data_CaTbAg4
_cell_length_a 8.117
_cell_length_b 8.117
_cell_length_c 8.117
_cell_angle_alpha 90.00
_cell_angle_beta 90.00
_cell_angle_gamma 90.00
_symmetry_space_group_name_H-M 'F -4 3 m'
_symmetry_Int_Tables_number 216
_symmetry_space_group_name_Hall 'F -4 2 3'
loop_
_atom_site_label
_atom_site_type_symbol
_atom_site_fract_x
_atom_site_fract_y
_atom_site_fract_z
_atom_site_occupancy
Ca1 Ca 0.000 0.000 0.000 1
Tb1 Tb 0.250 0.250 0.250 1
Ag1 Ag 0.125 0.125 0.625 1

***

Stability ranking, top and bottom: #one is the most stable and #two is the least stable.

***

#one
# CaTb2Ag (PBE, relaxed)
# spin magnetization: 0.001 μB per atom
data_CaTb2Ag
_cell_length_a 3.636
_cell_length_b 3.636
_cell_length_c 9.369
_cell_angle_alpha 90.00
_cell_angle_beta 90.00
_cell_angle_gamma 90.00
_symmetry_space_group_name_H-M 'P 4/m m m'
_symmetry_Int_Tables_number 123
_symmetry_space_group_name_Hall '-P 4 2'
loop_
_atom_site_label
_atom_site_type_symbol
_atom_site_fract_x
_atom_site_fract_y
_atom_site_fract_z
_atom_site_occupancy
Ca1 Ca 0.000 0.000 0.000 1
Tb1 Tb 0.500 0.500 0.309 1
Ag1 Ag 0.000 0.000 0.500 1

***

#two
# CaTb2Ag (PBE, relaxed)
# spin magnetization: 0.000 μB per atom
data_CaTb2Ag
_cell_length_a 3.6465
_cell_length_b 3.6465
_cell_length_c 32.2251
_cell_angle_alpha 90.00
_cell_angle_beta 90.00
_cell_angle_gamma 120.00
_symmetry_space_group_name_H-M 'R -3 m'
_symmetry_Int_Tables_number 166
_symmetry_space_group_name_Hall '-R 3 2"'
loop_
_atom_site_label
_atom_site_type_symbol
_atom_site_fract_x
_atom_site_fract_y
_atom_site_fract_z
_atom_site_occupancy
Ca1 Ca 0.0000 0.0000 0.0000 1
Tb1 Tb 0.0000 0.0000 0.2370 1
Ag1 Ag 0.0000 0.0000 0.5000 1

***

Stability ranking, top and bottom: #one is the most stable and #two is the least stable.

***

#one
# CaTbAg6 (PBE, relaxed)
# spin magnetization: 0.000 μB per atom
data_CaTbAg6
_cell_length_a 8.515
_cell_length_b 4.885
_cell_length_c 8.597
_cell_angle_alpha 90.00
_cell_angle_beta 109.88
_cell_angle_gamma 90.00
_symmetry_space_group_name_H-M 'C 1 2/m 1'
_symmetry_Int_Tables_number 12
loop_
_symmetry_equiv_pos_as_xyz
'x,y,z'
'-x,-y,-z'
'-x,y,-z'
'x,-y,z'
'x+1/2,y+1/2,z'
'-x+1/2,-y+1/2,-z'
'-x+1/2,y+1/2,-z'
'x+1/2,-y+1/2,z'
loop_
_atom_site_label
_atom_site_type_symbol
_atom_site_fract_x
_atom_site_fract_y
_atom_site_fract_z
_atom_site_occupancy
Ca1 Ca 0.000 0.000 0.000 1
Tb1 Tb 0.000 0.500 0.500 1
Ag1 Ag 0.124 0.500 0.872 1
Ag2 Ag 0.125 0.000 0.374 1
Ag3 Ag 0.248 0.000 0.745 1

***

#two
# CaTbAg6 (PBE, relaxed)
# spin magnetization: 0.000 μB per atom
data_CaTbAg6
_cell_length_a 5.506
_cell_length_b 5.506
_cell_length_c 5.506
_cell_angle_alpha 90.00
_cell_angle_beta 90.00
_cell_angle_gamma 90.00
_symmetry_space_group_name_H-M 'P m -3'
_symmetry_Int_Tables_number 200
_symmetry_space_group_name_Hall '-P 2 2 3'
loop_
_atom_site_label
_atom_site_type_symbol
_atom_site_fract_x
_atom_site_fract_y
_atom_site_fract_z
_atom_site_occupancy
Ca1 Ca 0.000 0.000 0.000 1
Tb1 Tb 0.500 0.500 0.500 1
Ag1 Ag 0.000 0.250 0.500 1

***

Stability ranking, top and bottom: #one is the most stable and #two is the least stable.

***

#one
# Ca2TbAg (PBE, relaxed)
# spin magnetization: 0.000 μB per atom
data_Ca2TbAg
_cell_length_a 3.565
_cell_length_b 3.565
_cell_length_c 9.728
_cell_angle_alpha 90.00
_cell_angle_beta 90.00
_cell_angle_gamma 90.00
_symmetry_space_group_name_H-M 'P 4/m m m'
_symmetry_Int_Tables_number 123
_symmetry_space_group_name_Hall '-P 4 2'
loop_
_atom_site_label
_atom_site_type_symbol
_atom_site_fract_x
_atom_site_fract_y
_atom_site_fract_z
_atom_site_occupancy
Ca1 Ca 0.000 0.000 0.204 1
Tb1 Tb 0.500 0.500 0.500 1
Ag1 Ag 0.500 0.500 0.000 1

***

#two
# Ca2TbAg (PBE, relaxed)
# spin magnetization: 0.109 μB per atom
data_Ca2TbAg
_cell_length_a 3.7538
_cell_length_b 3.7538
_cell_length_c 31.7199
_cell_angle_alpha 90.00
_cell_angle_beta 90.00
_cell_angle_gamma 120.00
_symmetry_space_group_name_H-M 'R 3 m'
_symmetry_Int_Tables_number 160
_symmetry_space_group_name_Hall 'R 3 -2"'
loop_
_atom_site_label
_atom_site_type_symbol
_atom_site_fract_x
_atom_site_fract_y
_atom_site_fract_z
_atom_site_occupancy
Ca1 Ca 0.0000 0.0000 0.0000 1
Ca2 Ca 0.0000 0.0000 0.1919 1
Tb1 Tb 0.0000 0.0000 0.4298 1
Ag1 Ag 0.0000 0.0000 0.5958 1

***

Stability ranking, top and bottom: #one is the most stable and #two is the least stable.